First-principles (GGA-PBE) data for a relaxed structure of Ca2TlAu, as listed in Alexandria.

Energy of formation from the pure elements in meV/atom: -491.8
Crystal system: monoclinic
Total magnetization in μB/cell: 0.000
Symmetry: No. 12

Lattice parameters (Å, degrees): 4.128 4.128 8.653 76.45 76.45 59.59
Element x y z (fractional)
Ca  0.489  0.489  0.531
Au  0.750  0.750  0.750
Ca  0.011  0.011  0.969
Tl  0.250  0.250  0.250